VASP calculation (PBE-GGA) on LiGaTe after structural relaxation.

Summary:
* calculated volume: 24.6 Å³ per atom
* formation energy from raw total energies: -0.34 eV per atom
* E_tot: -3.038 eV per atom
* energy above the lowest structure with this stoichiometry: 124 meV per atom

```
data_LiGaTe
_cell_length_a 4.127
_cell_length_b 4.127
_cell_length_c 8.662
_cell_angle_alpha 90.00
_cell_angle_beta 90.00
_cell_angle_gamma 90.00
_space_group_name_H-M_alt 'I 4 m m'
_space_group_IT_number 107
_space_group_name_Hall 'I 4 -2'
loop_
_atom_site_label
_atom_site_type_symbol
_atom_site_fract_x
_atom_site_fract_y
_atom_site_fract_z
Li1 Li 0.000 0.000 0.000
Ga1 Ga 0.000 0.000 0.315
Te1 Te 0.000 0.000 0.656
```